DFT (PBE-GGA) results for a relaxed Mn2Fe2Ni15 crystal.

Properties
size of the total moment	22.2	μB per cell
calculated total energy	-6.2673	eV per atom

abc: 6.167 6.167 6.167
angles: 81.62 81.62 81.62
Element x y z (fractional)
Mn1 0.104 0.104 0.104
Mn2 0.896 0.896 0.896
Fe1 0.336 0.336 0.336
Fe2 0.664 0.664 0.664
Ni1 0.000 0.000 0.500
Ni2 0.000 0.316 0.684
Ni3 0.000 0.500 0.000
Ni4 0.000 0.684 0.316
Ni5 0.165 0.653 0.653
Ni6 0.316 0.000 0.684
Ni7 0.316 0.684 0.000
Ni8 0.347 0.347 0.835
Ni9 0.347 0.835 0.347
Ni10 0.500 0.000 0.000
Ni11 0.653 0.165 0.653
Ni12 0.653 0.653 0.165
Ni13 0.684 0.000 0.316
Ni14 0.684 0.316 0.000
Ni15 0.835 0.347 0.347